DFT (PBE-GGA) results for a geometry-optimized CsNa2Se structure.

## Properties
Formation energy without anion corrections (eV per atom): -0.5652

CIF file:
```
data_CsNa2Se
_chemical_formula_sum 'Cs4 Na8 Se4'
_symmetry_space_group_name_H-M 'I 41/a m d'
_symmetry_Int_Tables_number 141
_cell_length_a 8.948
_cell_length_b 8.948
_cell_length_c 12.366
_cell_angle_alpha 90.00
_cell_angle_beta 90.00
_cell_angle_gamma 90.00
loop_
_symmetry_equiv_pos_as_xyz
'x,y,z'
'-x,-y,-z'
'-y+1/4,x+3/4,z+1/4'
'y+1/4,-x+3/4,-z+1/4'
'-x+1/2,-y,z+1/2'
'x+1/2,y,-z+1/2'
'y+1/4,-x+1/4,z+3/4'
'-y+1/4,x+1/4,-z+3/4'
'x,-y,-z'
'-x,y,z'
'-y+1/4,-x+1/4,-z+3/4'
'y+1/4,x+1/4,z+3/4'
'-x+1/2,y,-z+1/2'
'x+1/2,-y,z+1/2'
'y+1/4,x+3/4,-z+1/4'
'-y+1/4,-x+3/4,z+1/4'
'x+1/2,y+1/2,z+1/2'
'-x+1/2,-y+1/2,-z+1/2'
'-y+3/4,x+1/4,z+3/4'
'y+3/4,-x+1/4,-z+3/4'
'-x,-y+1/2,z'
'x,y+1/2,-z'
'y+3/4,-x+3/4,z+1/4'
'-y+3/4,x+3/4,-z+1/4'
'x+1/2,-y+1/2,-z+1/2'
'-x+1/2,y+1/2,z+1/2'
'-y+3/4,-x+3/4,-z+1/4'
'y+3/4,x+3/4,z+1/4'
'-x,y+1/2,-z'
'x,-y+1/2,z'
'y+3/4,x+1/4,-z+3/4'
'-y+3/4,-x+1/4,z+3/4'
loop_
_atom_site_label
_atom_site_fract_x
_atom_site_fract_y
_atom_site_fract_z
_atom_site_occupancy
Cs1 0.000 0.250 0.375 1
Na1 0.000 0.000 0.000 1
Se1 0.000 0.250 0.875 1
```

DFT (PBE-GGA) results for a geometry-optimized Sr2In6Hg21 structure.

## Properties
Total DFT energy (no corrections) (eV/cell): -110.23

CIF file:
```
data_Sr2In6Hg21
_chemical_formula_sum 'Sr8 In24 Hg84'
_symmetry_space_group_name_H-M 'F m -3 m'
_symmetry_Int_Tables_number 225
_symmetry_space_group_name_Hall '-F 4 2 3'
_cell_length_a 15.072
_cell_length_b 15.072
_cell_length_c 15.072
_cell_angle_alpha 90.00
_cell_angle_beta 90.00
_cell_angle_gamma 90.00
loop_
_atom_site_label
_atom_site_fract_x
_atom_site_fract_y
_atom_site_fract_z
_atom_site_occupancy
Sr1 0.250 0.250 0.250 1
In1 0.000 0.000 0.227 1
Hg1 0.000 0.000 0.500 1
Hg2 0.000 0.176 0.324 1
Hg3 0.124 0.124 0.124 1
```

DFT (PBE-GGA) results for a geometry-optimized Pr2TlSb3Rh4 structure.

## Properties
Formation energy without anion corrections (eV per atom): -0.6876

CIF file:
```
data_Pr2TlSb3Rh4
_chemical_formula_sum 'Pr2 Tl1 Sb3 Rh4'
_symmetry_space_group_name_H-M 'P -4 m 2'
_symmetry_Int_Tables_number 115
_cell_length_a 4.496
_cell_length_b 4.496
_cell_length_c 10.880
_cell_angle_alpha 90.00
_cell_angle_beta 90.00
_cell_angle_gamma 90.00
loop_
_symmetry_equiv_pos_as_xyz
'x,y,z'
'y,-x,-z'
'-x,-y,z'
'-y,x,-z'
'-x,y,z'
'-y,-x,-z'
'x,-y,z'
'y,x,-z'
loop_
_atom_site_label
_atom_site_fract_x
_atom_site_fract_y
_atom_site_fract_z
_atom_site_occupancy
Pr1 0.000 0.500 0.247 1
Tl1 0.000 0.000 0.500 1
Sb1 0.000 0.500 0.871 1
Sb2 0.500 0.500 0.500 1
Rh1 0.000 0.000 0.000 1
Rh2 0.000 0.500 0.637 1
Rh3 0.500 0.500 0.000 1
```

Values for mass density, g/cm3, ordered as above
1.7, 9.8, 9.5
Values for magnetic moment, μB per formula unit, ordered as above
0.00, 0.00, 0.00
Values for calculated volume, Å³ per atom, ordered as above
61.88, 29.52, 21.99